Entry 1:
Compound: Ce2GeBr3
Source: Alexandria via LeMat-Bulk
Functional: PBE
Structure: optimized geometry

abc: 9.664 9.664 12.219
angles: 124.19 124.19 27.13
Positions (direct):
Ce: 0.117 0.117 0.442
Ce: 0.369 0.369 0.194
Ce: 0.631 0.631 0.806
Ce: 0.883 0.883 0.558
Ge: 0.061 0.061 0.623
Ge: 0.939 0.939 0.377
Br: 0.169 0.169 0.009
Br: 0.261 0.261 0.380
Br: 0.455 0.455 0.764
Br: 0.545 0.545 0.236
Br: 0.739 0.739 0.620
Br: 0.831 0.831 0.991

Results
**Formation energy (no corrections)**: -127.2 kJ/mol of atoms
**SG**: C2/m


Entry 2:
Compound: LiTbNdSi
Source: Alexandria via LeMat-Bulk
Functional: PBE
Structure: optimized geometry

abc: 5.074 5.074 5.074
angles: 60.00 60.00 60.00
Positions (direct):
Li: 0.000 0.000 0.000
Tb: 0.250 0.250 0.250
Nd: 0.750 0.750 0.750
Si: 0.500 0.500 0.500

Results
**Formation energy (no corrections)**: -33.8 kJ/mol of atoms
**SG**: F-43m


Entry 3:
Compound: Pa3P2C
Source: Alexandria via LeMat-Bulk
Functional: PBE
Structure: optimized geometry

abc: 8.552 8.552 3.875
angles: 76.91 76.90 26.19
Positions (direct):
Pa: 0.000 0.000 0.000
Pa: 0.346 0.346 0.654
Pa: 0.654 0.654 0.346
P: 0.171 0.171 0.829
P: 0.829 0.829 0.171
C: 0.500 0.500 0.500

Results
**Relative energy among the computed polymorphs**: 0.037 eV/atom
**Formation enthalpy at 0 K**: -0.94 eV per atom
**SG**: Fmmm


Entry 4:
Compound: Er2Pd5
Source: Alexandria via LeMat-Bulk
Functional: PBE
Structure: optimized geometry

abc: 7.220 7.220 5.868
angles: 90.00 90.00 122.70
Positions (direct):
Er: 0.092 0.298 0.000
Er: 0.298 0.092 0.500
Er: 0.702 0.908 0.500
Er: 0.908 0.702 0.000
Pd: 0.103 0.350 0.500
Pd: 0.267 0.733 0.250
Pd: 0.267 0.733 0.750
Pd: 0.350 0.103 0.000
Pd: 0.500 0.500 0.250
Pd: 0.500 0.500 0.750
Pd: 0.650 0.897 0.000
Pd: 0.733 0.267 0.250
Pd: 0.733 0.267 0.750
Pd: 0.897 0.650 0.500

Results
**Formation enthalpy at 0 K**: -0.85 eV per atom
**SG**: Cccm


Entry 5:
Compound: RbPr2USe5
Source: Alexandria via LeMat-Bulk
Functional: PBE
Structure: optimized geometry

abc: 8.666 8.666 8.666
angles: 144.32 127.90 64.75
Positions (direct):
Rb: 0.000 0.000 0.000
Pr: 0.296 0.796 0.500
Pr: 0.704 0.204 0.500
U: 0.500 0.500 0.000
Se: 0.112 0.349 0.763
Se: 0.414 0.651 0.763
Se: 0.500 0.000 0.500
Se: 0.586 0.349 0.237
Se: 0.888 0.651 0.237

Results
**Formation energy (no corrections)**: -143.9 kJ/mol of atoms
**SG**: Immm


Entry 6:
Compound: ZrCuRe2
Source: Alexandria via LeMat-Bulk
Functional: PBE
Structure: optimized geometry

abc: 9.971 9.971 9.971
angles: 157.95 157.95 31.38
Positions (direct):
Zr: 0.000 0.000 0.000
Zr: 0.750 0.250 0.500
Cu: 0.250 0.750 0.500
Cu: 0.500 0.500 0.000
Re: 0.169 0.625 0.044
Re: 0.375 0.419 0.544
Re: 0.581 0.125 0.956
Re: 0.875 0.831 0.456

Results
**Relative energy among the computed polymorphs**: 0.503 eV/atom
**Formation enthalpy at 0 K**: 0.52 eV per atom
**SG**: I-42d


Entry 7:
Compound: SmU4S5
Source: Alexandria via LeMat-Bulk
Functional: PBE
Structure: optimized geometry

abc: 10.358 10.358 10.358
angles: 158.49 149.19 37.88
Positions (direct):
Sm: 0.000 0.000 0.000
U: 0.203 0.203 0.000
U: 0.400 0.400 0.000
U: 0.600 0.600 0.000
U: 0.797 0.797 0.000
S: 0.103 0.603 0.500
S: 0.301 0.801 0.500
S: 0.500 0.000 0.500
S: 0.699 0.199 0.500
S: 0.897 0.397 0.500

Results
**Formation energy (no corrections)**: -143.5 kJ/mol of atoms
**SG**: Immm


Entry 8:
Compound: SrHgBi2B
Source: Alexandria via LeMat-Bulk
Functional: PBE
Structure: optimized geometry

abc: 5.659 5.659 4.320
angles: 90.00 90.00 90.00
Positions (direct):
Sr: 0.000 0.000 0.000
Hg: 0.500 0.500 0.000
Bi: 0.000 0.500 0.500
Bi: 0.500 0.000 0.500
B: 0.500 0.500 0.500

Results
**Formation enthalpy at 0 K**: 0.21 eV per atom
**SG**: P4/mmm


Entry 9:
Compound: Th2MnPb
Source: Alexandria via LeMat-Bulk
Functional: PBE
Structure: optimized geometry

abc: 10.070 10.070 10.070
angles: 22.02 22.02 22.02
Positions (direct):
Th: 0.116 0.116 0.116
Th: 0.884 0.884 0.884
Mn: 0.500 0.500 0.500
Pb: 0.000 0.000 0.000

Results
**Relative energy among the computed polymorphs**: 0.297 eV/atom
**Formation enthalpy at 0 K**: 0.28 eV per atom
**SG**: R-3m


Entry 10:
Compound: La2Pm2NdIn5
Source: Alexandria via LeMat-Bulk
Functional: PBE
Structure: optimized geometry

abc: 11.181 11.181 4.793
angles: 90.00 90.00 90.00
Positions (direct):
La: 0.176 0.324 0.000
La: 0.324 0.824 0.000
La: 0.676 0.176 0.000
La: 0.824 0.676 0.000
Pm: 0.127 0.627 0.000
Pm: 0.373 0.127 0.000
Pm: 0.627 0.873 0.000
Pm: 0.873 0.373 0.000
Nd: 0.000 0.000 0.000
Nd: 0.500 0.500 0.000
In: 0.000 0.500 0.500
In: 0.060 0.806 0.500
In: 0.194 0.060 0.500
In: 0.306 0.560 0.500
In: 0.440 0.306 0.500
In: 0.500 0.000 0.500
In: 0.560 0.694 0.500
In: 0.694 0.440 0.500
In: 0.806 0.940 0.500
In: 0.940 0.194 0.500

Results
**Formation enthalpy at 0 K**: -0.37 eV per atom
**SG**: P4/mbm


Entry 11:
Compound: LaFeAg2
Source: Alexandria via LeMat-Bulk
Functional: PBE
Structure: optimized geometry

abc: 5.257 5.257 3.312
angles: 90.00 90.00 114.98
Positions (direct):
La: 0.000 0.000 0.000
Fe: 0.500 0.500 0.000
Ag: 0.000 0.500 0.500
Ag: 0.500 0.000 0.500

Results
**Formation enthalpy at 0 K**: 0.35 eV per atom
**SG**: Cmmm